First-principles (GGA-PBE) data for an optimized crystal structure of Tl3AgF6, as listed in the Open Quantum Materials Database.

Summary:
Total energy ... -37.38 eV for the cell shown

```
Tl3AgF6
1.0
0.0000 4.4008 4.4008
4.4008 0.0000 4.4008
4.4008 4.4008 0.0000
F Tl Ag
6 3 1
Cartesian
6.5567 4.4008 4.4008 F
4.4008 4.4008 2.2448 F
2.2448 4.4008 4.4008 F
4.4008 4.4008 6.5567 F
4.4008 6.5567 4.4008 F
4.4008 2.2448 4.4008 F
2.2004 2.2004 2.2004 Tl
4.4008 4.4008 4.4008 Tl
6.6011 6.6011 6.6011 Tl
0.0000 0.0000 0.0000 Ag
```